Computed, not measured: InTeSe after structural relaxation at the PBE level of DFT.

```
InTeSe
1.0
-4.7643 2.2992 -3.6345
-6.3714 -0.7596 0.1521
5.3630 1.2594 3.2935
In Se Te
1 1 1
Direct
0.9784 0.9784 0.0000
0.3604 0.3604 0.0000
0.6612 0.6612 0.0000
```

Results
ΔE to the lowest computed polymorph (eV/atom): 0.332
Final energy (eV/atom): -3.084

Computed, not measured: KIClO2 after structural relaxation at the PBE level of DFT.

```
KIClO2
1.0
-1.5715 1.1371 -3.9734
-0.9184 -4.2407 -0.8504
-4.9272 0.6396 2.1317
I K O Cl
1 1 2 1
Direct
0.0000 0.0000 0.5000
0.5000 0.5000 0.5000
0.0000 0.5000 0.0000
0.5000 0.0000 0.0000
0.0000 0.0000 0.0000
```

Results
ΔE to the lowest computed polymorph (eV/atom): 0.000
Final energy (eV/atom): -2.500

Computed, not measured: HfHgSb2 after structural relaxation at the PBE level of DFT.

```
HfHgSb2
1.0
-2.8806 1.9136 1.7343
-1.4631 -3.3501 1.2663
3.5376 0.4770 5.3493
Sb Hf Hg
2 1 1
Direct
0.0000 0.0000 0.7706
0.0000 0.0000 0.2294
0.5000 0.5000 0.0000
0.5000 0.5000 0.5000
```

Results
Final energy (eV/atom): -4.799

Computed, not measured: Ho5Tm after structural relaxation at the PBE level of DFT.

```
Ho5Tm
1.0
3.5000 0.0000 0.0000
-1.7500 7.4562 -1.8045
0.0000 0.0457 7.0103
Ho Tm
5 1
Direct
0.0279 0.0559 0.0554
0.6944 0.3888 0.3888
0.3609 0.7218 0.7223
0.3608 0.7217 0.2219
0.0281 0.0562 0.5560
0.6945 0.3889 0.8889
```

Results
Final energy (eV/atom): -4.540
Formation enthalpy at 0 K (eV per atom): 0.020

> The highest final energy belongs to which entry?

KIClO2

> The lowest final energy belongs to which entry?

HfHgSb2

Repeat the first record exactly.
Computed, not measured: InTeSe after structural relaxation at the PBE level of DFT.

```
InTeSe
1.0
-4.7643 2.2992 -3.6345
-6.3714 -0.7596 0.1521
5.3630 1.2594 3.2935
In Se Te
1 1 1
Direct
0.9784 0.9784 0.0000
0.3604 0.3604 0.0000
0.6612 0.6612 0.0000
```

Results
ΔE to the lowest computed polymorph (eV/atom): 0.332
Final energy (eV/atom): -3.084